No. 1
Dy2TmSe after structural relaxation. Source: Alexandria via LeMat-Bulk, functional PBE.

Lattice parameters (Å, degrees): 3.5916 3.5916 8.4134 90.00 90.00 90.00
Space group P4/mmm (No. 123)
Asymmetric unit:
Dy 0.0000 0.0000 0.2105 [2 per cell]
Tm 0.5000 0.5000 0.5000 [1 per cell]
Se 0.5000 0.5000 0.0000 [1 per cell]

crystal system	tetragonal
energy	-4.972	eV per atom
E_form (uncorrected)	-682	meV/atom
DOS(E_F)	0.98	states/eV/atom

=====

No. 2
Dy2Tm3Se6 after structural relaxation. Source: Alexandria via LeMat-Bulk, functional PBE.

Lattice parameters (Å, degrees): 4.0814 4.0814 59.7659 90.00 90.00 120.00
Space group R-3m (No. 166, hexagonal axes)
Asymmetric unit:
Dy 0.0000 0.0000 0.0543 [6 per cell]
Tm 0.0000 0.0000 0.2195 [6 per cell]
Tm 0.0000 0.0000 0.5000 [3 per cell]
Se 0.0000 0.0000 0.1399 [6 per cell]
Se 0.0000 0.0000 0.3028 [6 per cell]
Se 0.0000 0.0000 0.4192 [6 per cell]

crystal system	trigonal
energy	-5.683	eV per atom
E_form (uncorrected)	-1726	meV/atom
DOS(E_F)	0.40	states/eV/atom

=====

No. 3
DyTm3Se6 after structural relaxation. Source: Alexandria via LeMat-Bulk, functional PBE.

Lattice parameters (Å, degrees): 11.4749 4.0571 11.7400 90.00 109.25 90.00
Space group P2_1/m (No. 11)
Asymmetric unit:
Dy 0.0443 0.2500 0.1933 [2 per cell]
Tm 0.1591 0.2500 0.5836 [2 per cell]
Tm 0.3170 0.7500 0.9990 [2 per cell]
Tm 0.4336 0.2500 0.3329 [2 per cell]
Se 0.0823 0.7500 0.4024 [2 per cell]
Se 0.1120 0.2500 0.9653 [2 per cell]
Se 0.1938 0.7500 0.7504 [2 per cell]
Se 0.2552 0.7500 0.2238 [2 per cell]
Se 0.3950 0.2500 0.5617 [2 per cell]
Se 0.4793 0.2500 0.1149 [2 per cell]

crystal system	monoclinic
energy	-5.743	eV per atom
E_form (uncorrected)	-1851	meV/atom

=====

No. 4
Dy3Tm2Se8 after structural relaxation. Source: Alexandria via LeMat-Bulk, functional PBE.

Lattice parameters (Å, degrees): 14.2103 8.1523 6.9550 90.00 109.50 90.00
Space group C2/m (No. 12)
Asymmetric unit:
Dy 0.0000 0.0000 0.0000 [2 per cell]
Dy 0.0000 0.2614 0.5000 [4 per cell]
Tm 0.2432 0.5000 0.1624 [4 per cell]
Se 0.1193 0.5000 0.4007 [4 per cell]
Se 0.1201 0.0000 0.4253 [4 per cell]
Se 0.1248 0.2402 0.9149 [8 per cell]

crystal system	monoclinic
energy	-5.584	eV per atom
E_form (uncorrected)	-1689	meV/atom
DOS(E_F)	0.51	states/eV/atom